(1)
CdCo2W after structural relaxation. Source: the Alexandria database, functional PBE.

Results
The total magnetization comes out at 0.000 μB per cell. Its space group is I-4m2 (119). The electronic total energy comes out at -6.544 eV/atom.

abc: 4.918 4.918 4.918
angles: 136.55 136.55 63.13
Atoms (fractional coordinates):
Cd  0.000  0.000  0.000
Co  0.250  0.750  0.500
Co  0.500  0.500  0.000
W  0.750  0.250  0.500

***

(2)
Rb2TlPdPt after structural relaxation. Source: the Alexandria database, functional PBE.

Results
The total magnetization comes out at 0.000 μB per cell. Its space group is P4/mmm (123). The electronic total energy comes out at -2.752 eV/atom.

abc: 6.325 6.325 4.989
angles: 90.00 90.00 90.00
Atoms (fractional coordinates):
Rb  0.000  0.500  0.000
Rb  0.500  0.000  0.000
Tl  0.000  0.000  0.500
Pd  0.500  0.500  0.500
Pt  0.500  0.500  0.000

***

What is the formula in the second record? Rb2TlPdPt